An optimized crystal structure of ScAlF2. Source: Alexandria via LeMat-Bulk, functional PBE.

a b c (Å): 5.0362 5.0362 5.0362
angles (deg): 48.51 48.51 48.51
Element x y z (fractional)
Sc1 0.0000 0.0000 0.0000
Al1 0.5000 0.5000 0.5000
F1 0.1513 0.1513 0.1513
F2 0.8487 0.8487 0.8487

Computed properties:
Symmetry: No. 166
Raw formation energy: -1.807 eV/atom
Uncorrected energy: -5.26 eV/atom

---

An optimized crystal structure of ScAlF2. Source: Alexandria via LeMat-Bulk, functional PBE.

a b c (Å): 7.4942 7.4942 7.4942
angles (deg): 22.40 22.40 22.40
Element x y z (fractional)
Sc1 0.0000 0.0000 0.0000
Al1 0.5000 0.5000 0.5000
F1 0.4073 0.4073 0.4073
F2 0.5927 0.5927 0.5927

Computed properties:
Symmetry: No. 166
Raw formation energy: -2.084 eV/atom
Uncorrected energy: -5.54 eV/atom

---

An optimized crystal structure of ScAlF2. Source: Alexandria via LeMat-Bulk, functional PBE.

a b c (Å): 4.3620 4.3620 4.3620
angles (deg): 60.00 60.00 60.00
Element x y z (fractional)
Sc1 0.0000 0.0000 0.0000
Al1 0.5000 0.5000 0.5000
F1 0.2500 0.2500 0.2500
F2 0.7500 0.7500 0.7500

Computed properties:
Symmetry: No. 225
Raw formation energy: -1.411 eV/atom
Uncorrected energy: -4.87 eV/atom

---

An optimized crystal structure of ScAlF2. Source: Alexandria via LeMat-Bulk, functional PBE.

a b c (Å): 6.9413 6.9413 6.9413
angles (deg): 134.94 134.94 65.63
Element x y z (fractional)
Sc1 0.0000 0.0000 0.0000
Sc2 0.7500 0.2500 0.5000
Al1 0.2500 0.7500 0.5000
Al2 0.5000 0.5000 0.0000
F1 0.3750 0.1875 0.3125
F2 0.8125 0.1250 0.1875
F3 0.8750 0.0625 0.6875
F4 0.9375 0.6250 0.8125

Computed properties:
Symmetry: No. 122
Raw formation energy: -1.936 eV/atom
Uncorrected energy: -5.39 eV/atom

---

An optimized crystal structure of Sc2AlF8. Source: Alexandria via LeMat-Bulk, functional PBE.

a b c (Å): 5.6076 5.6076 4.4502
angles (deg): 105.09 105.09 75.08
Element x y z (fractional)
Sc1 0.1675 0.1675 0.3612
Sc2 0.8325 0.8325 0.6388
Al1 0.5000 0.5000 0.0000
F1 0.0818 0.0818 0.8013
F2 0.1823 0.5506 0.7369
F3 0.3712 0.3712 0.2286
F4 0.4494 0.8177 0.2631
F5 0.5506 0.1823 0.7369
F6 0.6288 0.6288 0.7714
F7 0.8177 0.4494 0.2631
F8 0.9182 0.9182 0.1987

Computed properties:
Symmetry: No. 12
Raw formation energy: -3.585 eV/atom
Uncorrected energy: -6.44 eV/atom

---

An optimized crystal structure of AlSeF3. Source: Alexandria via LeMat-Bulk, functional PBE.

a b c (Å): 3.9719 3.9719 3.9719
angles (deg): 90.00 90.00 90.00
Element x y z (fractional)
Al1 0.0000 0.0000 0.0000
Se1 0.5000 0.5000 0.5000
F1 0.0000 0.0000 0.5000
F2 0.0000 0.5000 0.0000
F3 0.5000 0.0000 0.0000

Computed properties:
Symmetry: No. 221
Raw formation energy: -1.812 eV/atom
Uncorrected energy: -4.38 eV/atom

---

An optimized crystal structure of AlSeF3. Source: Alexandria via LeMat-Bulk, functional PBE.

a b c (Å): 4.4787 4.4787 4.4787
angles (deg): 90.00 90.00 90.00
Element x y z (fractional)
Al1 0.0000 0.0000 0.0000
Se1 0.5000 0.5000 0.5000
F1 0.0000 0.5000 0.5000
F2 0.5000 0.0000 0.5000
F3 0.5000 0.5000 0.0000

Computed properties:
Symmetry: No. 221
Raw formation energy: -0.821 eV/atom
Uncorrected energy: -3.39 eV/atom

---

An optimized crystal structure of AlSnSeF2. Source: Alexandria via LeMat-Bulk, functional PBE.

a b c (Å): 4.0647 4.0647 5.3806
angles (deg): 90.00 90.00 90.00
Element x y z (fractional)
Al1 0.0000 0.0000 0.0000
Sn1 0.5000 0.5000 0.5000
Se1 0.0000 0.0000 0.5000
F1 0.0000 0.5000 0.0000
F2 0.5000 0.0000 0.0000

Computed properties:
Symmetry: No. 123
Raw formation energy: -1.550 eV/atom
Uncorrected energy: -4.54 eV/atom

---

An optimized crystal structure of SrAl2SeF. Source: Alexandria via LeMat-Bulk, functional PBE.

a b c (Å): 4.8758 4.8758 6.2457
angles (deg): 90.00 90.00 90.00
Element x y z (fractional)
Sr1 0.0000 0.0000 0.0000
Al1 0.0000 0.5000 0.5000
Al2 0.5000 0.0000 0.5000
Se1 0.0000 0.0000 0.5000
F1 0.5000 0.5000 0.0000

Computed properties:
Symmetry: No. 123
Raw formation energy: -0.329 eV/atom
Uncorrected energy: -3.23 eV/atom

---

An optimized crystal structure of TaAl2SeF. Source: Alexandria via LeMat-Bulk, functional PBE.

a b c (Å): 5.1924 5.1924 4.8068
angles (deg): 90.00 90.00 90.00
Element x y z (fractional)
Ta1 0.0000 0.0000 0.0000
Al1 0.0000 0.5000 0.0000
Al2 0.5000 0.0000 0.0000
Se1 0.0000 0.0000 0.5000
F1 0.5000 0.5000 0.5000

Computed properties:
Symmetry: No. 123
Raw formation energy: 0.104 eV/atom
Uncorrected energy: -4.83 eV/atom

---

An optimized crystal structure of AlTc2SeF. Source: Alexandria via LeMat-Bulk, functional PBE.

a b c (Å): 4.6803 4.6803 3.5031
angles (deg): 90.00 90.00 90.00
Element x y z (fractional)
Al1 0.0000 0.0000 0.0000
Tc1 0.0000 0.5000 0.5000
Tc2 0.5000 0.0000 0.5000
Se1 0.5000 0.5000 0.0000
F1 0.0000 0.0000 0.5000

Computed properties:
Symmetry: No. 123
Raw formation energy: 0.517 eV/atom
Uncorrected energy: -5.45 eV/atom

---

An optimized crystal structure of TiAlSeF2. Source: Alexandria via LeMat-Bulk, functional PBE.

a b c (Å): 3.7046 3.7046 5.8837
angles (deg): 90.00 90.00 90.00
Element x y z (fractional)
Ti1 0.0000 0.0000 0.0000
Al1 0.5000 0.5000 0.5000
Se1 0.5000 0.5000 0.0000
F1 0.0000 0.5000 0.5000
F2 0.5000 0.0000 0.5000

Computed properties:
Symmetry: No. 123
Raw formation energy: -1.667 eV/atom
Uncorrected energy: -5.44 eV/atom

---

An optimized crystal structure of AlTlSe2F. Source: Alexandria via LeMat-Bulk, functional PBE.

a b c (Å): 5.2350 5.2350 6.5807
angles (deg): 90.00 90.00 90.00
Element x y z (fractional)
Al1 0.0000 0.0000 0.0000
Tl1 0.0000 0.0000 0.5000
Se1 0.0000 0.5000 0.5000
Se2 0.5000 0.0000 0.5000
F1 0.5000 0.5000 0.0000

Computed properties:
Symmetry: No. 123
Raw formation energy: 0.431 eV/atom
Uncorrected energy: -2.56 eV/atom